w) Be2ZnCl | Alexandria | PBE | optimized geometry; symmetry = No. 123
1.0
2.839 0.000 0.000
0.000 2.839 0.000
0.000 0.000 6.828
Cl Be Zn
1 2 1
Cartesian
1.420 1.420 1.707 Cl
0.000 0.000 6.646 Be
0.000 0.000 3.596 Be
1.420 1.420 5.121 Zn

x) Be2ZnCl | Alexandria | PBE | optimized geometry; symmetry = No. 166
1.0
7.030 -0.007 -0.004
6.393 2.924 -0.004
6.393 1.390 2.573
Cl Be Zn
1 2 1
Cartesian
4.954 1.077 0.641 Cl
0.021 0.005 0.003 Be
9.887 2.149 1.280 Be
14.861 3.230 1.924 Zn

Most stable: x)